# SrY2GaO, relaxed, DFT PBE
# calculated volume	113.9	Å³ per cell
# DFT total energy	-29.04	eV per cell
# crystal system	tetragonal
data_SrY2GaO
_space_group_name_H-M_alt 'P 4/m m m'
_space_group_IT_number 123
_space_group_name_Hall '-P 4 2'
_cell_length_a 4.7752
_cell_length_b 4.7752
_cell_length_c 4.9964
_cell_angle_alpha 90.00
_cell_angle_beta 90.00
_cell_angle_gamma 90.00
loop_
_atom_site_label
_atom_site_type_symbol
_atom_site_fract_x
_atom_site_fract_y
_atom_site_fract_z
Sr1 Sr 0.0000 0.0000 0.0000
Y1 Y 0.0000 0.5000 0.5000
Ga1 Ga 0.5000 0.5000 0.0000
O1 O 0.0000 0.0000 0.5000